Crystalline La2Sm5Y3 at its relaxed geometry. Source: the Alexandria database, functional GGA-PBE.

Cell lengths 9.6094, 9.6597, 9.6774 Å; angles 109.01, 108.80, 110.44 degrees
Last column: nearest neighbours and their distance in Å.
Sites, in units of the cell vectors:
La: 0.9664 0.0191 0.7469  3 Y 3.19-3.52, 3 Sm 3.31-3.56
La: 0.0336 0.9809 0.2531  3 Y 3.19-3.52, 3 Sm 3.31-3.56
La: 0.2805 0.7278 0.7469  3 Y 3.19-3.52, 3 Sm 3.31-3.56
La: 0.7195 0.2722 0.2531  3 Y 3.19-3.52, 3 Sm 3.31-3.56
Sm: 0.2186 0.4686 0.9371  1 Sm 3.16, 2 Y 3.38
Sm: 0.7814 0.5314 0.0629  1 Sm 3.16, 2 Y 3.38
Sm: 0.9798 0.7298 0.4596  1 Sm 3.16, 2 La 3.31
Sm: 0.4781 0.2281 0.4562  5 Y 3.30-3.55, 2 La 3.50, 2 Sm 3.65
Sm: 0.0202 0.2702 0.5404  1 Sm 3.16, 2 La 3.31
Sm: 0.5219 0.7719 0.5438  5 Y 3.30-3.55, 2 La 3.50, 2 Sm 3.65
Sm: 0.8912 0.6131 0.7624  3 Y 3.51-3.64, 2 La 3.58-3.79, 3 Sm 3.62-3.70
Sm: 0.1088 0.3869 0.2376  3 Y 3.51-3.64, 2 La 3.58-3.79, 3 Sm 3.62-3.70
Sm: 0.3712 0.1493 0.7624  3 Y 3.51-3.64, 2 La 3.58-3.79, 3 Sm 3.62-3.70
Sm: 0.6288 0.8507 0.2376  3 Y 3.51-3.64, 2 La 3.58-3.79, 3 Sm 3.62-3.70
Y: 0.2712 0.0212 0.0423  3 Sm 3.30-3.58, 4 La 3.36-3.52, 2 Y 3.51
Y: 0.7288 0.9788 0.9577  3 Sm 3.30-3.58, 4 La 3.36-3.52, 2 Y 3.51
Y: 0.5100 0.4660 0.2438  1 La 3.19, 4 Sm 3.34-3.55, 1 Y 3.51
Y: 0.4900 0.5340 0.7562  1 La 3.19, 4 Sm 3.34-3.55, 1 Y 3.51
Y: 0.2337 0.7778 0.2438  1 La 3.19, 4 Sm 3.34-3.55, 1 Y 3.51
Y: 0.7663 0.2222 0.7562  1 La 3.19, 4 Sm 3.34-3.55, 1 Y 3.51

Output
density of states at the Fermi level = 34.77 states/eV/cell
uncorrected energy = -0.1873 hartree per atom


Crystalline La2Sm4Y3 at its relaxed geometry. Source: the Alexandria database, functional GGA-PBE.

Cell lengths 5.1601, 8.1211, 8.1292 Å; angles 107.57, 108.50, 90.00 degrees
Last column: nearest neighbours and their distance in Å.
Sites, in units of the cell vectors:
La: 0.3340 0.9987 0.6679  5 Y 3.63-3.66, 5 Sm 3.64-3.67, 2 La 3.66
La: 0.6660 0.0013 0.3321  5 Y 3.63-3.66, 5 Sm 3.64-3.67, 2 La 3.66
Sm: 0.5559 0.3366 0.1118  4 Sm 3.60-3.64, 6 Y 3.61-3.66, 2 La 3.64
Sm: 0.7777 0.6636 0.5554  5 Sm 3.60-3.64, 4 Y 3.61-3.66, 3 La 3.65-3.67
Sm: 0.4441 0.6634 0.8882  4 Sm 3.60-3.64, 6 Y 3.61-3.66, 2 La 3.64
Sm: 0.2223 0.3364 0.4446  5 Sm 3.60-3.64, 4 Y 3.61-3.66, 3 La 3.65-3.67
Y: 0.8901 0.3353 0.7802  2 Y 3.59-3.64, 7 Sm 3.61-3.66, 3 La 3.65-3.66
Y: 0.1099 0.6647 0.2198  2 Y 3.59-3.64, 7 Sm 3.61-3.66, 3 La 3.65-3.66
Y: 0.0000 0.0000 0.0000  4 La 3.63, 2 Y 3.64, 6 Sm 3.64-3.66

Output
density of states at the Fermi level = 14.77 states/eV/cell
uncorrected energy = -0.1957 hartree per atom


Crystalline LaSmY3 at its relaxed geometry. Source: the Alexandria database, functional GGA-PBE.

Cell lengths 6.5909, 11.7280, 6.5687 Å; angles 122.80, 120.20, 91.40 degrees
Last column: nearest neighbours and their distance in Å.
Sites, in units of the cell vectors:
La: 0.0000 0.5000 0.0000  2 Sm 3.43, 10 Y 3.45-3.83
La: 0.0000 0.0000 0.0000  2 Sm 3.16, 4 Y 3.29-3.31
Sm: 0.4631 0.8107 0.7512  2 La 3.16-3.43, 4 Y 3.35-3.45
Sm: 0.5369 0.1893 0.2488  2 La 3.16-3.43, 4 Y 3.35-3.45
Y: 0.7003 0.5453 0.3920  7 Y 3.65-3.92, 2 Sm 3.70-3.74, 3 La 3.81-3.83
Y: 0.6880 0.1863 0.8298  2 La 3.29-3.45, 2 Sm 3.35-3.45, 4 Y 3.39-3.67
Y: 0.2997 0.4547 0.6080  7 Y 3.65-3.92, 2 Sm 3.70-3.74, 3 La 3.81-3.83
Y: 0.1134 0.1868 0.6715  2 La 3.31-3.45, 2 Sm 3.38-3.41, 4 Y 3.39-3.65
Y: 0.3120 0.8136 0.1702  2 La 3.29-3.45, 2 Sm 3.35-3.45, 4 Y 3.39-3.67
Y: 0.8866 0.8132 0.3285  2 La 3.31-3.45, 2 Sm 3.38-3.41, 4 Y 3.39-3.65

Output
density of states at the Fermi level = 15.48 states/eV/cell
uncorrected energy = -0.2071 hartree per atom


Crystalline LaSm6Y8 at its relaxed geometry. Source: the Alexandria database, functional GGA-PBE.

Cell lengths 9.1334, 9.1334, 8.7598 Å; angles 58.58, 58.58, 60.00 degrees
Last column: nearest neighbours and their distance in Å.
Sites, in units of the cell vectors:
La: 0.0000 0.0000 0.0000  6 Sm 3.49, 6 Y 3.58
Sm: 0.4635 0.8952 0.8720  4 Y 3.42-3.76, 1 La 3.49, 4 Sm 3.51-3.82
Sm: 0.1048 0.2307 0.1280  4 Y 3.42-3.76, 1 La 3.49, 4 Sm 3.51-3.82
Sm: 0.2307 0.5365 0.1280  4 Y 3.42-3.76, 1 La 3.49, 4 Sm 3.51-3.82
Sm: 0.7693 0.4635 0.8720  4 Y 3.42-3.76, 1 La 3.49, 4 Sm 3.51-3.82
Sm: 0.8952 0.7693 0.8720  4 Y 3.42-3.76, 1 La 3.49, 4 Sm 3.51-3.82
Sm: 0.5365 0.1048 0.1280  4 Y 3.42-3.76, 1 La 3.49, 4 Sm 3.51-3.82
Y: 0.2519 0.2833 0.5764  3 Sm 3.42-3.76, 5 Y 3.45-3.47, 1 La 3.58
Y: 0.7167 0.1117 0.4236  3 Sm 3.42-3.76, 5 Y 3.45-3.47, 1 La 3.58
Y: 0.1117 0.7481 0.4236  3 Sm 3.42-3.76, 5 Y 3.45-3.47, 1 La 3.58
Y: 0.5771 0.5771 0.2686  4 Y 3.24-3.45, 3 Sm 3.44
Y: 0.4229 0.4229 0.7314  4 Y 3.24-3.45, 3 Sm 3.44
Y: 0.8883 0.2519 0.5764  3 Sm 3.42-3.76, 5 Y 3.45-3.47, 1 La 3.58
Y: 0.2833 0.8883 0.5764  3 Sm 3.42-3.76, 5 Y 3.45-3.47, 1 La 3.58
Y: 0.7481 0.7167 0.4236  3 Sm 3.42-3.76, 5 Y 3.45-3.47, 1 La 3.58

Output
density of states at the Fermi level = 23.74 states/eV/cell
uncorrected energy = -0.2035 hartree per atom